Entry 1:
VASP calculation (GGA-PBE) on crystalline CaPb3 at its relaxed geometry.

```
CaPb3
1.0
-0.194 4.874 -3.443
-3.374 -4.269 -2.457
-2.890 1.207 1.871
Pb Ca
3 1
direct
0.000 0.500 0.500 Pb
0.500 0.000 0.500 Pb
0.500 0.500 0.000 Pb
0.000 0.000 0.000 Ca
```

The formation energy is -274 meV/atom. Its space group is No. 65. The calculation puts the density of states at the Fermi level at 0.89 states/eV/f.u.



Entry 2:
VASP calculation (GGA-PBE) on crystalline CaPb at its relaxed geometry.

```
CaPb
1.0
1.866 6.099 0.357
-1.866 6.099 0.357
0.000 2.228 8.557
Ca Pb
3 3
direct
0.679 0.679 0.568 Ca
0.403 0.403 0.211 Ca
0.361 0.361 0.820 Ca
0.079 0.079 0.905 Pb
0.970 0.970 0.486 Pb
0.673 0.673 0.177 Pb
```

The formation energy is -383 meV/atom. Its space group is No. 8. The calculation puts the density of states at the Fermi level at 1.27 states/eV/f.u.



Entry 3:
VASP calculation (GGA-PBE) on crystalline CaPb3 at its relaxed geometry.

```
CaPb3
1.0
3.714 0.000 0.000
0.000 4.855 0.000
0.000 0.000 6.875
Pb Ca
3 1
direct
0.500 0.500 0.753 Pb
0.000 0.000 0.500 Pb
0.500 0.500 0.247 Pb
0.000 0.000 0.000 Ca
```

The formation energy is -230 meV/atom. Its space group is No. 47. The calculation puts the density of states at the Fermi level at 1.99 states/eV/f.u.



Entry 4:
VASP calculation (GGA-PBE) on crystalline CaPb at its relaxed geometry.

```
CaPb
1.0
-0.479 -2.689 2.360
6.696 -6.427 -5.965
7.733 3.208 5.224
Ca Pb
6 6
direct
0.500 0.833 0.639 Ca
0.500 0.167 0.639 Ca
0.500 0.333 0.139 Ca
0.500 0.667 0.139 Ca
0.500 0.000 0.139 Ca
0.500 0.500 0.639 Ca
0.000 0.333 0.862 Pb
0.000 0.667 0.862 Pb
0.000 0.833 0.362 Pb
0.000 0.167 0.362 Pb
0.000 0.000 0.862 Pb
0.000 0.500 0.362 Pb
```

The formation energy is -374 meV/atom. Its space group is No. 38. The calculation puts the density of states at the Fermi level at 1.15 states/eV/f.u.



Entry 5:
VASP calculation (GGA-PBE) on crystalline CaPb at its relaxed geometry.

```
CaPb
1.0
6.498 0.000 0.000
0.000 6.498 0.000
0.000 0.000 6.484
Ca Pb
4 4
direct
0.192 0.808 0.000 Ca
0.692 0.692 0.500 Ca
0.308 0.308 0.500 Ca
0.808 0.192 0.000 Ca
0.330 0.330 0.000 Pb
0.830 0.170 0.500 Pb
0.170 0.830 0.500 Pb
0.670 0.670 0.000 Pb
```

The formation energy is -220 meV/atom. Its space group is No. 136. The calculation puts the density of states at the Fermi level at 2.06 states/eV/f.u.



Entry 6:
VASP calculation (GGA-PBE) on crystalline CaPb5 at its relaxed geometry.

```
CaPb5
1.0
8.052 0.538 3.579
-8.627 1.805 -0.508
-1.114 -4.433 3.174
Ca Pb
1 5
direct
0.981 0.019 0.000 Ca
0.313 0.687 0.000 Pb
0.649 0.351 0.000 Pb
0.465 0.535 0.500 Pb
0.796 0.204 0.500 Pb
0.128 0.872 0.500 Pb
```

The formation energy is -136 meV/atom. For the energy relative to the lowest polymorph listed for this composition, the calculation gives 0.24 eV/f.u. Its space group is No. 38. The calculation puts the density of states at the Fermi level at 3.18 states/eV/f.u.



Entry 7:
VASP calculation (GGA-PBE) on crystalline CaPb at its relaxed geometry.

```
CaPb
1.0
-1.811 -3.907 0.971
2.298 -0.129 3.767
-5.065 3.142 3.197
Pb Ca
2 2
direct
0.000 0.000 0.496 Pb
0.500 0.500 0.754 Pb
0.000 0.000 0.969 Ca
0.500 0.500 0.281 Ca
```

The formation energy is -256 meV/atom. Its space group is No. 129. The calculation puts the density of states at the Fermi level at 2.31 states/eV/f.u.



Entry 8:
VASP calculation (GGA-PBE) on crystalline CaPb at its relaxed geometry.

```
CaPb
1.0
-3.092 4.604 3.506
-0.782 1.271 7.362
2.505 2.590 0.738
Pb Ca
2 2
direct
0.474 0.562 0.482 Pb
0.443 0.021 0.268 Pb
0.948 0.045 0.004 Ca
0.969 0.538 0.746 Ca
```

The formation energy is -480 meV/atom. Its space group is No. 12. The calculation puts the density of states at the Fermi level at 0.87 states/eV/f.u.



Entry 9:
VASP calculation (GGA-PBE) on crystalline CaPb at its relaxed geometry.

```
CaPb
1.0
6.948 0.000 0.000
0.000 9.924 0.000
0.000 0.000 10.925
Ca Pb
12 12
direct
0.250 0.134 0.178 Ca
0.750 0.866 0.822 Ca
0.250 0.634 0.822 Ca
0.750 0.366 0.178 Ca
0.250 0.532 0.376 Ca
0.750 0.468 0.624 Ca
0.250 0.032 0.624 Ca
0.750 0.968 0.376 Ca
0.000 0.750 0.117 Ca
0.500 0.250 0.883 Ca
0.000 0.250 0.883 Ca
0.500 0.750 0.117 Ca
0.250 0.453 0.082 Pb
0.750 0.547 0.918 Pb
0.250 0.953 0.918 Pb
0.750 0.047 0.082 Pb
0.250 0.880 0.358 Pb
0.750 0.120 0.642 Pb
0.250 0.380 0.642 Pb
0.750 0.620 0.358 Pb
0.000 0.750 0.572 Pb
0.500 0.250 0.428 Pb
0.000 0.250 0.428 Pb
0.500 0.750 0.572 Pb
```

The formation energy is -466 meV/atom. Its space group is No. 57. The calculation puts the density of states at the Fermi level at 1.23 states/eV/f.u.



Entry 10:
VASP calculation (GGA-PBE) on crystalline CaPb8 at its relaxed geometry.

```
CaPb8
1.0
-4.103 -2.884 -0.712
1.056 -6.863 3.700
-5.123 1.407 5.805
Ca Pb
1 8
direct
0.000 0.000 0.000 Ca
0.333 0.000 0.335 Pb
0.667 0.000 0.665 Pb
0.667 0.665 0.000 Pb
0.000 0.666 0.334 Pb
0.334 0.666 0.666 Pb
0.666 0.334 0.334 Pb
0.000 0.334 0.666 Pb
0.333 0.335 0.000 Pb
```

The formation energy is -96 meV/atom. Its space group is No. 139. The calculation puts the density of states at the Fermi level at 5.47 states/eV/f.u.



Among the records above, which one has the lowest formation energy?
number 8